# 1
A plane-wave DFT calculation with PBE-GGA was carried out for a geometry-optimized NaSiPt2Cl structure.

Values from the calculation:
E_form (uncorrected): 1.156 eV/atom
E_tot: -2.978 eV/atom
DOS(E_F): 1.5 states/eV/cell

abc: 4.841 4.841 4.592
angles: 90.00 90.00 90.00
Fractional coordinates of all 5 atoms:
Na 0.000 0.000 0.000
Si 0.500 0.500 0.500
Pt 0.000 0.500 0.000
Pt 0.500 0.000 0.000
Cl 0.000 0.000 0.500

***

# 2
A plane-wave DFT calculation with PBE-GGA was carried out for a geometry-optimized Cs3BaBi structure.

Values from the calculation:
E_tot: -1.619 eV/atom
formation energy from the elements: 0.054 eV/atom
DOS(E_F): 2.3 states/eV/cell

abc: 7.631 7.631 7.631
angles: 90.00 90.00 90.00
Fractional coordinates of all 5 atoms:
Cs 0.000 0.000 0.500
Cs 0.000 0.500 0.000
Cs 0.500 0.000 0.000
Ba 0.500 0.500 0.500
Bi 0.000 0.000 0.000